1.
Material: Nb2OsN
Method: DFT, SCAN
State: PBEsol geometry

Results
As for the symmetry: No. 225. The uncorrected formation energy is 0.62 eV/atom.

```
Nb2OsN
1.0
-0.2560 -3.1231 2.9595
2.1365 -3.6984 -0.5792
3.4167 -0.9232 2.4601
Nb Os N
2 1 1
Direct
0.2500 0.2500 0.2500
0.7500 0.7500 0.7500
0.5000 0.5000 0.5000
0.0000 0.0000 0.0000
```

2.
Material: Nb3OsN
Method: DFT, SCAN
State: PBEsol geometry

Results
As for the symmetry: No. 221. The uncorrected formation energy is 2.05 eV/atom.

```
Nb3OsN
1.0
-0.2145 4.7195 0.7359
-4.6381 -0.0297 -1.1612
-1.1417 -0.7659 4.5794
Nb Os N
3 1 1
Direct
0.0000 0.5000 0.0000
0.0000 0.0000 0.5000
0.5000 0.0000 0.0000
0.0000 0.0000 0.0000
0.5000 0.5000 0.5000
```

3.
Material: NbTeOsN2
Method: DFT, SCAN
State: PBEsol geometry

Results
As for the symmetry: No. 123. The uncorrected formation energy is 0.92 eV/atom.

```
NbTeOsN2
1.0
3.8511 0.0000 0.0000
0.0000 3.8511 0.0000
0.0000 0.0000 5.6364
Nb Te Os N
1 1 1 2
Direct
0.5000 0.5000 0.5000
0.0000 0.0000 0.5000
0.0000 0.0000 0.0000
0.0000 0.5000 0.0000
0.5000 0.0000 0.0000
```

4.
Material: NbPN3
Method: DFT, SCAN
State: PBEsol geometry

Results
As for the symmetry: No. 221. The uncorrected formation energy is 0.20 eV/atom.

```
NbPN3
1.0
3.4973 0.0000 0.0000
0.0000 3.4973 0.0000
0.0000 0.0000 3.4973
P Nb N
1 1 3
Direct
0.0000 0.0000 0.0000
0.5000 0.5000 0.5000
0.0000 0.5000 0.0000
0.0000 0.0000 0.5000
0.5000 0.0000 0.0000
```

5.
Material: NbP2SN
Method: DFT, SCAN
State: PBEsol geometry

Results
As for the symmetry: No. 123. The uncorrected formation energy is 0.63 eV/atom.

```
NbP2SN
1.0
3.8616 0.0000 0.0000
0.0000 3.8616 0.0000
0.0000 0.0000 4.3050
P Nb S N
2 1 1 1
Direct
0.0000 0.5000 0.0000
0.5000 0.0000 0.0000
0.5000 0.5000 0.5000
0.0000 0.0000 0.5000
0.0000 0.0000 0.0000
```

6.
Material: NbPSe2N
Method: DFT, SCAN
State: PBEsol geometry

Results
As for the symmetry: No. 123. The uncorrected formation energy is 0.42 eV/atom.

```
NbPSe2N
1.0
-2.6166 1.3107 -1.4149
-1.4731 -4.4705 -1.4171
-2.5173 -0.4995 4.1925
P Nb Se N
1 1 2 1
Direct
0.0000 0.0000 0.0000
0.5000 0.5000 0.5000
0.0000 0.0000 0.5000
0.0000 0.5000 0.0000
0.5000 0.0000 0.0000
```